Below is crystalline NbCoBi2O6 at its relaxed geometry, with properties calculated at the GGA+U level.

Computed properties:
The value obtained for the energy is -6.77 eV per atom. As for the total magnetization: 3.995 μB per cell.

Cell: 5.5641 6.0096 9.4848 Å, 90.00 123.39 90.00°
Closest atoms and distances in Å follow each position.
Element x y z (fractional)
Nb 0.0000 0.0000 0.0000  6 O 2.03-2.04
Nb 0.0000 0.5000 0.5000  6 O 2.03-2.04
Co 0.5000 0.0000 0.5000  6 O 2.18-2.29
Co 0.5000 0.5000 0.0000  6 O 2.18-2.29
Bi 0.2667 0.0566 0.7496  4 O 2.27-2.54
Bi 0.2667 0.4434 0.2496  4 O 2.27-2.54
Bi 0.7333 0.5566 0.7504  4 O 2.27-2.54
Bi 0.7333 0.9434 0.2504  4 O 2.27-2.54
O 0.1205 0.0421 0.2440  1 Nb 2.04, 1 Co 2.18, 1 Bi 2.27
O 0.1205 0.4579 0.7440  1 Nb 2.04, 1 Co 2.18, 1 Bi 2.27
O 0.2170 0.7071 0.0573  1 Nb 2.03
O 0.2170 0.7929 0.5573  1 Nb 2.03
O 0.3581 0.1685 0.0513  1 Nb 2.04
O 0.3581 0.3315 0.5513  1 Nb 2.04
O 0.6419 0.6685 0.4487  1 Nb 2.04
O 0.6419 0.8315 0.9487  1 Nb 2.04
O 0.7830 0.2071 0.4427  1 Nb 2.03
O 0.7830 0.2929 0.9427  1 Nb 2.03
O 0.8795 0.5421 0.2560  1 Nb 2.04, 1 Co 2.18, 1 Bi 2.27
O 0.8795 0.9579 0.7560  1 Nb 2.04, 1 Co 2.18, 1 Bi 2.27